# 1
Compound: LiCa3Cd
Source: Alexandria via LeMat-Bulk
Functional: meta-GGA SCAN
Structure: single point on PBEsol structure

Cell: 5.9010 5.9010 5.9010 Å, 90.00 90.00 90.00°
With the nearest neighbours (Å) after each atom.
Sites, in units of the cell vectors:
1 Ca 0.0000 0.5000 0.0000  2 Cd 2.95
2 Ca 0.0000 0.0000 0.5000  2 Cd 2.95
3 Ca 0.5000 0.0000 0.0000  2 Cd 2.95
4 Li 0.5000 0.5000 0.5000  12 Ca 4.17
5 Cd 0.0000 0.0000 0.0000  6 Ca 2.95

- Space group: Pm-3m (221)
- Spin magnetization: 0.0000 μB/atom
- Formation energy from the elements: 0.045 eV per atom
- Density of states at the Fermi level: 0.935 states/eV per atom


# 2
Compound: SiAgP2
Source: Alexandria via LeMat-Bulk
Functional: meta-GGA SCAN
Structure: single point on PBEsol structure

Cell: 3.5018 3.6469 5.0045 Å, 90.00 90.00 90.00°
With the nearest neighbours (Å) after each atom.
Sites, in units of the cell vectors:
1 Ag 0.0000 0.5000 0.5000  4 P 2.53
2 Si 0.5000 0.5000 0.0000  4 P 2.53
3 P 0.5000 0.0000 0.5000  4 Ag 2.53
4 P 0.0000 0.0000 0.0000  4 Si 2.53

- Space group: Pmmm (47)
- Formation energy (no corrections): 0.726 eV/atom
- Spin magnetization: 0.0000 μB/atom
- Density of states at the Fermi level: 0.409 states/eV per atom


# 3
Compound: Rb6CdO4
Source: Alexandria via LeMat-Bulk
Functional: meta-GGA SCAN
Structure: single point on PBEsol structure

Cell: 6.8741 9.0379 9.0379 Å, 120.00 90.00 90.00°
With the nearest neighbours (Å) after each atom.
Sites, in units of the cell vectors:
1 Rb 0.7189 0.8562 0.1438  4 O 2.75-2.99
2 Rb 0.2189 0.7123 0.8562  4 O 2.75-2.99
3 Rb 0.7189 0.8562 0.7123  4 O 2.75-2.99
4 Rb 0.3843 0.5381 0.4619  3 O 2.81-2.85
5 Rb 0.8843 0.0762 0.5381  3 O 2.81-2.85
6 Rb 0.8843 0.4619 0.5381  3 O 2.81-2.85
7 Rb 0.3843 0.9238 0.4619  3 O 2.81-2.85
8 Rb 0.2189 0.1438 0.2877  4 O 2.75-2.99
9 Rb 0.7189 0.2877 0.1438  4 O 2.75-2.99
10 Rb 0.2189 0.1438 0.8562  4 O 2.75-2.99
11 Rb 0.3843 0.5381 0.0762  3 O 2.81-2.85
12 Rb 0.8843 0.4619 0.9238  3 O 2.81-2.85
13 O 0.6014 0.6073 0.8037  1 Cd 2.27
14 O 0.1014 0.8037 0.6073  1 Cd 2.27
15 O 0.1014 0.8037 0.1963  1 Cd 2.27
16 O 0.1702 0.3333 0.6667  1 Cd 2.21
17 O 0.1014 0.3927 0.1963  1 Cd 2.27
18 O 0.6702 0.6667 0.3333  1 Cd 2.21
19 O 0.6014 0.1963 0.3927  1 Cd 2.27
20 O 0.6014 0.1963 0.8037  1 Cd 2.27
21 Cd 0.4922 0.3333 0.6667  4 O 2.21-2.27
22 Cd 0.9922 0.6667 0.3333  4 O 2.21-2.27

- Space group: P6_3mc (186)
- Formation energy (no corrections): -1.203 eV/atom
- Spin magnetization: 0.0010 μB/atom
- Density of states at the Fermi level: 0.000 states/eV per atom


# 4
Compound: KTcSb2
Source: Alexandria via LeMat-Bulk
Functional: meta-GGA SCAN
Structure: single point on PBEsol structure

Cell: 3.3047 4.4550 7.6208 Å, 98.66 90.00 111.77°
With the nearest neighbours (Å) after each atom.
Sites, in units of the cell vectors:
1 Sb 0.7291 0.4582 0.6719  3 Tc 2.69-2.77
2 Sb 0.2709 0.5418 0.3281  3 Tc 2.69-2.77
3 K 0.5000 0.0000 0.0000  2 K 3.30, 6 Sb 3.37-3.49
4 Tc 0.0000 0.0000 0.5000  6 Sb 2.69-2.77

- Space group: C2/m (12)
- Formation energy (no corrections): -0.040 eV/atom
- Spin magnetization: 0.2653 μB/atom
- ΔE to the lowest computed polymorph: 0.159 eV/atom
- Density of states at the Fermi level: 0.533 states/eV per atom


# 5
Compound: TaIrBr2
Source: Alexandria via LeMat-Bulk
Functional: meta-GGA SCAN
Structure: single point on PBEsol structure

Cell: 3.2320 3.2320 6.4042 Å, 90.00 90.00 90.00°
With the nearest neighbours (Å) after each atom.
Sites, in units of the cell vectors:
1 Ta 0.5000 0.5000 0.5000  8 Br 2.75
2 Br 0.0000 0.0000 0.2609  4 Ta 2.75, 4 Ir 2.83, 1 Br 3.06
3 Br 0.0000 0.0000 0.7391  4 Ta 2.75, 4 Ir 2.83, 1 Br 3.06
4 Ir 0.5000 0.5000 0.0000  8 Br 2.83

- Space group: P4/mmm (123)
- Formation energy (no corrections): 1.072 eV/atom
- Spin magnetization: 0.0000 μB/atom
- ΔE to the lowest computed polymorph: 1.620 eV/atom
- Density of states at the Fermi level: 0.325 states/eV per atom


# 6
Compound: LiRh5
Source: Alexandria via LeMat-Bulk
Functional: meta-GGA SCAN
Structure: single point on PBEsol structure

Cell: 2.6654 4.9982 6.3754 Å, 103.28 90.00 105.46°
With the nearest neighbours (Å) after each atom.
Sites, in units of the cell vectors:
1 Rh 0.6631 0.3263 0.3287  10 Rh 2.60-2.69, 2 Li 2.67
2 Rh 0.3874 0.7749 0.2786  10 Rh 2.60-2.71, 2 Li 2.68
3 Rh 0.3289 0.6578 0.6636  10 Rh 2.59-2.69, 2 Li 2.71
4 Rh 0.7304 0.4608 0.9498  3 Li 2.56-2.65, 9 Rh 2.61-2.73
5 Rh 0.0548 0.1097 0.6165  11 Rh 2.59-2.73, 1 Li 2.59
6 Li 0.0020 0.0039 0.9961  10 Rh 2.56-2.71, 2 Li 2.67

- Space group: Cm (8)
- Spin magnetization: 0.0001 μB/atom
- ΔE to the lowest computed polymorph: 0.000 eV/atom
- Formation energy from the elements: -0.041 eV per atom
- Density of states at the Fermi level: 1.180 states/eV per atom


# 7
Compound: Li2Mg
Source: Alexandria via LeMat-Bulk
Functional: meta-GGA SCAN
Structure: single point on PBEsol structure

Cell: 3.0968 5.0336 7.9037 Å, 90.00 101.30 90.00°
With the nearest neighbours (Å) after each atom.
Sites, in units of the cell vectors:
1 Li 0.9936 0.0000 0.9873  10 Li 3.02-3.10, 2 Mg 3.14
2 Li 0.6619 0.0000 0.3238  6 Li 2.98-3.10, 6 Mg 3.04-3.18
3 Li 0.3264 0.0000 0.6527  8 Li 2.98-3.16, 4 Mg 3.02
4 Li 0.4502 0.5000 0.9003  4 Mg 2.97-2.98, 8 Li 3.03-3.16
5 Mg 0.1145 0.5000 0.2290  8 Li 2.98-3.14, 4 Mg 3.09-3.10
6 Mg 0.7868 0.5000 0.5737  8 Li 2.97-3.18, 4 Mg 3.09-3.10

- Space group: Amm2 (38)
- Spin magnetization: 0.0076 μB/atom
- Formation energy from the elements: -0.034 eV per atom
- Density of states at the Fermi level: 0.383 states/eV per atom


# 8
Compound: MoRh2SBr
Source: Alexandria via LeMat-Bulk
Functional: meta-GGA SCAN
Structure: single point on PBEsol structure

Cell: 4.6737 4.6943 4.6943 Å, 90.00 90.00 90.00°
With the nearest neighbours (Å) after each atom.
Sites, in units of the cell vectors:
1 S 0.5000 0.5000 0.5000  8 Rh 3.31, 4 Br 3.32
2 Rh 0.0000 0.5000 0.0000  2 Mo 2.35
3 Rh 0.0000 0.0000 0.5000  2 Mo 2.35
4 Mo 0.0000 0.0000 0.0000  2 Br 2.34, 4 Rh 2.35
5 Br 0.5000 0.0000 0.0000  2 Mo 2.34

- Space group: P4/mmm (123)
- Formation energy (no corrections): 1.239 eV/atom
- Spin magnetization: 0.0000 μB/atom
- Density of states at the Fermi level: 0.886 states/eV per atom


Q: Number 7 is which compound?
A: Li2Mg


Q: Among the records above, which one has the highest spin magnetization?
A: KTcSb2


Q: spin magnetization of number 2 (SiAgP2)?
A: 0.0000 μB/atom


Q: Which formula does entry 7 have?
A: Li2Mg